The following is a GGA-PBE calculation of a relaxed Rb2NbTlCu crystal, from the Alexandria database.

Structure (extended XYZ):
```
5
Lattice="6.437 0.000 0.000 0.000 5.120 0.000 0.000 0.000 6.437" Properties=species:S:1:pos:R:3 pbc="T T T"
Nb 0.000 2.560 0.000
Tl 3.219 2.560 3.219
Rb 3.219 0.000 0.000
Rb 0.000 0.000 3.219
Cu 0.000 0.000 0.000
```

Computed properties:
E_form	1.019	eV per atom
space-group type	No. 123
theoretical density	4.16	g cm⁻³

***

The following is a GGA-PBE calculation of a relaxed RbYNb2Cu crystal, from the Alexandria database.

Structure (extended XYZ):
```
5
Lattice="4.930 0.000 0.000 0.000 5.014 0.000 0.000 0.000 4.930" Properties=species:S:1:pos:R:3 pbc="T T T"
Y 2.465 2.507 2.465
Nb 0.000 0.000 2.465
Rb 0.000 0.000 0.000
Nb 2.465 0.000 0.000
Cu 0.000 2.507 0.000
```

Computed properties:
E_form	2.124	eV per atom
space-group type	No. 123
theoretical density	5.77	g cm⁻³

***

The following is a GGA-PBE calculation of a relaxed RbNb2ZnCu crystal, from the Alexandria database.

Structure (extended XYZ):
```
5
Lattice="4.881 0.000 0.000 0.000 4.751 0.000 0.000 0.000 4.881" Properties=species:S:1:pos:R:3 pbc="T T T"
Rb 0.000 0.000 0.000
Zn 2.440 2.375 2.440
Cu 0.000 2.375 0.000
Nb 2.440 0.000 0.000
Nb 0.000 0.000 2.440
```

Computed properties:
E_form	2.607	eV per atom
space-group type	No. 123
theoretical density	5.87	g cm⁻³

***

The following is a GGA-PBE calculation of a relaxed NbCuRe2 crystal, from the Alexandria database.

Structure (extended XYZ):
```
8
Lattice="7.074 0.000 0.000 0.000 7.074 0.000 3.537 3.537 2.619" Properties=species:S:1:pos:R:3 pbc="T T T"
Cu 3.537 3.537 0.000
Re 5.210 1.768 0.655
Re 8.842 8.747 1.964
Cu 3.537 7.074 1.309
Nb 0.000 0.000 0.000
Nb 7.074 3.537 1.309
Re 5.305 5.400 1.964
Re 1.863 5.305 0.655
```

Computed properties:
E_form	0.891	eV per atom
energy relative to the lowest polymorph listed for this composition	577.1	meV per atom
space-group type	No. 122
theoretical density	13.40	g cm⁻³